1.
First-principles (PBE) data for an optimized crystal structure of NiRh3Se, as listed in the Alexandria database.

Unit cell a=4.526 b=4.526 c=4.526 alpha=90.00 beta=90.00 gamma=90.00
Fractional positions:
1 Ni 0.000 0.000 0.000
2 Rh 0.000 0.500 0.500
3 Rh 0.500 0.000 0.500
4 Rh 0.500 0.500 0.000
5 Se 0.500 0.500 0.500

space-group type	Pm-3m (221)
density of states at the Fermi level	21.79	states/eV/f.u.
crystal system	cubic
final energy	-5.434	eV per atom
excess energy over the best structure of this formula in the dataset	0.000	eV/atom
formation energy without anion corrections	0.830	eV per atom

=====

2.
First-principles (PBE) data for an optimized crystal structure of Ni2RhSe6, as listed in the Alexandria database.

Unit cell a=6.236 b=6.236 c=7.976 alpha=95.28 beta=95.28 gamma=33.93
Fractional positions:
1 Ni 0.170 0.170 0.334
2 Ni 0.830 0.830 0.666
3 Rh 0.500 0.500 0.000
4 Se 0.023 0.023 0.792
5 Se 0.304 0.304 0.859
6 Se 0.356 0.356 0.476
7 Se 0.644 0.644 0.524
8 Se 0.696 0.696 0.141
9 Se 0.977 0.977 0.208

space-group type	C2/m (12)
density of states at the Fermi level	2.79	states/eV/f.u.
crystal system	monoclinic
final energy	-4.736	eV per atom
excess energy over the best structure of this formula in the dataset	0.000	eV/atom
formation energy without anion corrections	-0.311	eV per atom

=====

3.
First-principles (PBE) data for an optimized crystal structure of Ni3RhSe6, as listed in the Alexandria database.

Unit cell a=6.464 b=6.464 c=6.464 alpha=57.69 beta=57.69 gamma=57.69
Fractional positions:
1 Ni 0.000 0.000 0.000
2 Ni 0.198 0.198 0.198
3 Ni 0.697 0.697 0.697
4 Rh 0.500 0.500 0.500
5 Se 0.089 0.404 0.803
6 Se 0.295 0.914 0.596
7 Se 0.404 0.803 0.089
8 Se 0.596 0.295 0.914
9 Se 0.803 0.089 0.404
10 Se 0.914 0.596 0.295

space-group type	R3 (146)
density of states at the Fermi level	7.63	states/eV/f.u.
crystal system	trigonal
final energy	-4.848	eV per atom
formation energy without anion corrections	-0.288	eV per atom

=====

4.
First-principles (PBE) data for an optimized crystal structure of NiRh2Se, as listed in the Alexandria database.

Unit cell a=3.995 b=3.995 c=7.026 alpha=90.00 beta=90.00 gamma=90.00
Fractional positions:
1 Ni 0.000 0.000 0.000
2 Ni 0.500 0.500 0.500
3 Rh 0.000 0.500 0.250
4 Rh 0.000 0.500 0.750
5 Rh 0.500 0.000 0.250
6 Rh 0.500 0.000 0.750
7 Se 0.000 0.000 0.500
8 Se 0.500 0.500 0.000

space-group type	I4/mmm (139)
density of states at the Fermi level	5.25	states/eV/f.u.
crystal system	tetragonal
final energy	-5.893	eV per atom
excess energy over the best structure of this formula in the dataset	0.017	eV/atom
formation energy without anion corrections	0.099	eV per atom

=====

5.
First-principles (PBE) data for an optimized crystal structure of NiRh2Se, as listed in the Alexandria database.

Unit cell a=6.119 b=6.119 c=6.119 alpha=90.00 beta=90.00 gamma=90.00
Fractional positions:
1 Ni 0.000 0.000 0.000
2 Ni 0.000 0.500 0.500
3 Ni 0.500 0.000 0.500
4 Ni 0.500 0.500 0.000
5 Rh 0.000 0.000 0.500
6 Rh 0.000 0.500 0.000
7 Rh 0.250 0.250 0.750
8 Rh 0.250 0.750 0.250
9 Rh 0.500 0.000 0.000
10 Rh 0.500 0.500 0.500
11 Rh 0.750 0.250 0.250
12 Rh 0.750 0.750 0.750
13 Se 0.250 0.250 0.250
14 Se 0.250 0.750 0.750
15 Se 0.750 0.250 0.750
16 Se 0.750 0.750 0.250

space-group type	F-43m (216)
density of states at the Fermi level	6.68	states/eV/f.u.
crystal system	cubic
final energy	-5.767	eV per atom
excess energy over the best structure of this formula in the dataset	0.144	eV/atom
formation energy without anion corrections	0.226	eV per atom

=====

6.
First-principles (PBE) data for an optimized crystal structure of Ni5RhSe12, as listed in the Alexandria database.

Unit cell a=6.257 b=6.257 c=10.417 alpha=90.04 beta=90.04 gamma=119.64
Fractional positions:
1 Ni 0.000 0.000 0.000
2 Ni 0.167 0.833 0.500
3 Ni 0.333 0.667 0.000
4 Ni 0.667 0.333 0.000
5 Ni 0.833 0.167 0.500
6 Rh 0.500 0.500 0.500
7 Se 0.004 0.336 0.115
8 Se 0.152 0.496 0.618
9 Se 0.157 0.157 0.381
10 Se 0.329 0.329 0.884
11 Se 0.336 0.004 0.115
12 Se 0.496 0.152 0.618
13 Se 0.504 0.848 0.382
14 Se 0.664 0.996 0.885
15 Se 0.671 0.671 0.116
16 Se 0.843 0.843 0.619
17 Se 0.848 0.504 0.382
18 Se 0.996 0.664 0.885

space-group type	C2/m (12)
density of states at the Fermi level	6.94	states/eV/f.u.
crystal system	monoclinic
final energy	-4.620	eV per atom
formation energy without anion corrections	-0.282	eV per atom

=====

7.
First-principles (PBE) data for an optimized crystal structure of Ni2RhSe, as listed in the Alexandria database.

Unit cell a=3.743 b=3.743 c=7.509 alpha=90.00 beta=90.00 gamma=90.00
Fractional positions:
1 Ni 0.000 0.000 0.000
2 Ni 0.000 0.500 0.250
3 Ni 0.500 0.000 0.750
4 Ni 0.500 0.500 0.500
5 Rh 0.000 0.500 0.750
6 Rh 0.500 0.000 0.250
7 Se 0.000 0.000 0.500
8 Se 0.500 0.500 0.000

space-group type	I-4m2 (119)
density of states at the Fermi level	5.73	states/eV/f.u.
crystal system	tetragonal
final energy	-5.484	eV per atom
excess energy over the best structure of this formula in the dataset	0.044	eV/atom
formation energy without anion corrections	0.116	eV per atom

=====

8.
First-principles (PBE) data for an optimized crystal structure of NiRh2Se, as listed in the Alexandria database.

Unit cell a=3.872 b=2.961 c=9.961 alpha=90.00 beta=90.00 gamma=90.00
Fractional positions:
1 Ni 0.000 0.000 0.000
2 Ni 0.000 0.500 0.500
3 Rh 0.000 0.000 0.260
4 Rh 0.000 0.500 0.760
5 Rh 0.500 0.000 0.608
6 Rh 0.500 0.500 0.108
7 Se 0.500 0.000 0.857
8 Se 0.500 0.500 0.357

space-group type	Amm2 (38)
density of states at the Fermi level	6.01	states/eV/f.u.
crystal system	orthorhombic
final energy	-5.888	eV per atom
excess energy over the best structure of this formula in the dataset	0.023	eV/atom
formation energy without anion corrections	0.105	eV per atom